Entry 1:
Density functional theory data (SCAN) for CsHgCl3 at its PBEsol-relaxed geometry.

The structure belongs to space group Pm-3m (No. 221); the cell edges are 5.270, 5.270 and 5.270 Å and the angles 90.00°, 90.00° and 90.00°. The asymmetric unit holds Cs at (0.000, 0.000, 0.000), Hg at (0.500, 0.500, 0.500) and Cl at (0.000, 0.500, 0.500).

The electronic total energy comes out at -136.47 eV per formula unit. For the energy relative to the elements, uncorrected, the calculation gives -30.3 kcal/mol of atoms. The distance to the lowest polymorph of the same formula is 19 meV per atom. The calculation puts the mass density at 4.99 g/cm3.

***

Entry 2:
Density functional theory data (SCAN) for InMoS2N at its PBEsol-relaxed geometry.

The structure belongs to space group P4/mmm (No. 123); the cell edges are 4.494, 4.494 and 5.512 Å and the angles 90.00°, 90.00° and 90.00°. The asymmetric unit holds In at (0.000, 0.000, 0.000), Mo at (0.000, 0.000, 0.500), S at (0.000, 0.500, 0.500) and N at (0.500, 0.500, 0.000).

The electronic total energy comes out at -92.81 eV per formula unit. For the energy relative to the elements, uncorrected, the calculation gives 18.5 kcal/mol of atoms. The calculation puts the mass density at 4.31 g/cm3.

***

Entry 3:
Density functional theory data (SCAN) for CaCu3Bi at its PBEsol-relaxed geometry.

The structure belongs to space group Pm-3m (No. 221); the cell edges are 4.829, 4.829 and 4.829 Å and the angles 90.00°, 90.00° and 90.00°. The asymmetric unit holds Ca at (0.000, 0.000, 0.000), Cu at (0.000, 0.000, 0.500) and Bi at (0.500, 0.500, 0.500).

The electronic total energy comes out at -127.76 eV per formula unit. The value obtained for the formation energy is 1.2158 eV per atom. The calculation puts the mass density at 6.48 g/cm3.

***

Entry 4:
Density functional theory data (SCAN) for Sr2BeW at its PBEsol-relaxed geometry.

The structure belongs to space group P4mm (No. 99); the cell edges are 3.352, 3.352 and 8.895 Å and the angles 90.00°, 90.00° and 90.00°. The asymmetric unit holds Sr at (0.000, 0.000, 0.000), Sr at (0.500, 0.500, 0.407), Be at (0.500, 0.500, 0.730) and W at (0.000, 0.000, 0.669).

The electronic total energy comes out at -115.51 eV per formula unit. The value obtained for the formation energy is 0.7704 eV per atom. The calculation puts the mass density at 6.12 g/cm3.

***

Entry 5:
Density functional theory data (SCAN) for BaRe2As at its PBEsol-relaxed geometry.

The structure belongs to space group C2/m (No. 12); the cell edges are 5.806, 11.109 and 2.793 Å and the angles 90.00°, 118.14° and 90.00°. The asymmetric unit holds Ba at (0.000, 0.000, 0.000), Re at (0.250, 0.250, 0.500) and As at (0.000, 0.500, 0.000).

The electronic total energy comes out at -196.55 eV per formula unit. The value obtained for the formation energy is 1.3454 eV per atom. The calculation puts the mass density at 12.22 g/cm3.

***

Entry 6:
Density functional theory data (SCAN) for CaZnSi2 at its PBEsol-relaxed geometry.

The structure belongs to space group I4/mmm (No. 139); the cell edges are 3.981, 3.981 and 8.989 Å and the angles 90.00°, 90.00° and 90.00°. The asymmetric unit holds Ca at (0.000, 0.000, 0.000), Zn at (0.000, 0.000, 0.500) and Si at (0.000, 0.500, 0.250).

The electronic total energy comes out at -42.70 eV per formula unit. For the energy relative to the elements, uncorrected, the calculation gives 3.0 kcal/mol of atoms. The calculation puts the mass density at 3.77 g/cm3.